A relaxed structure of KPPd2F. Source: Alexandria via LeMat-Bulk, functional PBE.

Cell and atoms, written as POSCAR:
```
KPPd2F
1.0
4.4172 0.0000 0.0000
0.0000 5.6237 0.0000
0.0000 0.0000 4.4172
P K Pd F
1 1 2 1
Cartesian
0.0000 0.0000 0.0000 P
2.2086 2.8119 2.2086 K
0.0000 0.0000 2.2086 Pd
2.2086 0.0000 0.0000 Pd
0.0000 2.8119 0.0000 F
```

Properties
formation energy from raw total energies = -3.647 eV per formula unit
final energy = -0.165 Ha/atom



A relaxed structure of KRePF2. Source: Alexandria via LeMat-Bulk, functional PBE.

Cell and atoms, written as POSCAR:
```
KRePF2
1.0
-1.6269 3.3162 -2.0228
-6.3851 -0.8038 3.8176
1.4746 2.5562 3.0045
Re K F P
1 1 2 1
Cartesian
0.0000 0.0000 0.0000 Re
-3.1925 -0.4019 1.9088 K
0.7373 1.2781 1.5023 F
-0.8135 1.6581 -1.0114 F
-3.2687 2.5343 2.3997 P
```

Properties
formation energy from raw total energies = 0.357 eV per formula unit
final energy = -0.164 Ha/atom



A relaxed structure of K2PSF5. Source: Alexandria via LeMat-Bulk, functional PBE.

Cell and atoms, written as POSCAR:
```
K2PSF5
1.0
6.2743 -0.1226 -0.1779
-3.0870 5.4637 0.1779
-3.0870 -1.7794 5.1689
K P S F
2 1 1 5
Cartesian
0.1735 -0.1036 3.7253 K
0.1735 3.5180 1.2298 K
-0.0093 0.0056 0.0081 P
-4.7576 2.8391 4.1201 S
1.1075 0.7292 1.0582 F
-1.2390 2.9709 4.3114 F
-3.2029 4.1428 1.2361 F
-3.2029 -0.3202 4.3114 F
-1.1907 0.7105 1.0311 F
```

Properties
formation energy from raw total energies = -20.850 eV per formula unit
final energy = -0.171 Ha/atom



A relaxed structure of KScPF2. Source: Alexandria via LeMat-Bulk, functional PBE.

Cell and atoms, written as POSCAR:
```
KScPF2
1.0
4.1472 0.0000 0.0000
0.0000 7.7656 0.0000
0.0000 0.0000 4.1472
Sc P K F
1 1 1 2
Cartesian
0.0000 0.0000 0.0000 Sc
2.0736 3.8828 2.0736 P
0.0000 3.8828 0.0000 K
0.0000 0.0000 2.0736 F
2.0736 0.0000 0.0000 F
```

Properties
formation energy from raw total energies = -7.663 eV per formula unit
final energy = -0.178 Ha/atom



A relaxed structure of K2PSeF5. Source: Alexandria via LeMat-Bulk, functional PBE.

Cell and atoms, written as POSCAR:
```
K2PSeF5
1.0
-3.9245 3.6000 -3.6284
5.0055 -3.0444 -2.6839
-2.0648 -5.6014 2.4265
K P Se F
2 1 1 5
Cartesian
-2.3688 -2.8409 -0.6557 K
1.1664 -1.5624 -3.2109 K
0.0319 -0.0938 -0.0028 P
2.2487 -6.6114 -0.1968 Se
-0.8369 -0.4897 -1.4029 F
0.0034 -4.9981 -2.4961 F
3.7669 -3.7405 -1.7409 F
-0.6758 -5.3473 1.4703 F
0.5780 -1.6992 -0.0506 F
```

Properties
formation energy from raw total energies = -20.485 eV per formula unit
final energy = -0.167 Ha/atom



A relaxed structure of KSiPF2. Source: Alexandria via LeMat-Bulk, functional PBE.

Cell and atoms, written as POSCAR:
```
KSiPF2
1.0
4.2045 0.0000 0.0000
0.0000 6.7490 0.0000
0.0000 0.0000 4.2045
P K Si F
1 1 1 2
Cartesian
0.0000 0.0000 0.0000 P
0.0000 3.3745 0.0000 K
2.1022 3.3745 2.1022 Si
0.0000 0.0000 2.1022 F
2.1022 0.0000 0.0000 F
```

Properties
formation energy from raw total energies = -0.351 eV per formula unit
final energy = -0.118 Ha/atom



Question: Look up the formation energy from raw total energies of the sixth one.
Answer: -0.351 eV per formula unit